Record 1
AgPdPt2 (GGA-PBE, relaxed); space-group type = Fm-3m (225); spin magnetization = 0.000 μB per formula unit; DOS(E_F) = 1.4526 states/eV per atom; mass density = 15.548 g cm⁻³; energy of formation = 150 meV/atom
1.0
0.000 3.184 3.184
3.184 0.000 3.184
3.184 3.184 0.000
Ag Pd Pt
1 1 2
direct
0.000 0.000 0.000
0.500 0.500 0.500
0.250 0.250 0.250
0.750 0.750 0.750

Record 2
Ag4Pd5Pt (GGA-PBE, relaxed); space-group type = P4/mmm (123); spin magnetization = 0.604 μB per formula unit; DOS(E_F) = 0.7803 states/eV per atom; mass density = 11.803 g cm⁻³; energy of formation = -26 meV/atom
1.0
2.825 0.000 0.000
0.000 2.825 0.000
0.000 0.000 20.420
Ag Pd Pt
4 5 1
direct
0.000 0.000 0.101
0.000 0.000 0.303
0.000 0.000 0.697
0.000 0.000 0.899
0.500 0.500 0.000
0.500 0.500 0.202
0.500 0.500 0.405
0.500 0.500 0.595
0.500 0.500 0.798
0.000 0.000 0.500

Record 3
Ag2Pd3Pt3 (GGA-PBE, relaxed); space-group type = P-1 (2); spin magnetization = 0.001 μB per formula unit; DOS(E_F) = 1.6217 states/eV per atom; mass density = 14.528 g cm⁻³; energy of formation = 4 meV/atom
1.0
4.902 0.000 0.000
-1.727 4.632 0.000
-1.577 -2.302 5.640
Ag Pd Pt
2 3 3
direct
0.250 0.250 0.000
0.750 0.750 0.000
0.000 0.000 0.500
0.375 0.875 0.249
0.625 0.125 0.751
0.119 0.619 0.737
0.500 0.500 0.500
0.881 0.381 0.263